# 1
PPdNO2: relaxed, PBE-GGA.

It has space group P4/mmm (No. 123), with a = 3.9652 Å, b = 3.9652 Å, c = 3.8506 Å, α = 90.00°, β = 90.00° and γ = 90.00°. The inequivalent atoms are P at (0.0000, 0.0000, 0.0000), Pd at (0.5000, 0.5000, 0.5000), N at (0.5000, 0.5000, 0.0000) and O at (0.0000, 0.5000, 0.5000).

The density of states at the Fermi level is 3.0 states/eV per cell. Its calculated density is 5.0 g/cm³. Its raw total energy is -4.705 eV per atom.

***

# 2
ThPaGeP: relaxed, PBE-GGA.

It has space group R3m (No. 160, hexagonal axes), with a = 3.9888 Å, b = 3.9888 Å, c = 22.0648 Å, α = 90.00°, β = 90.00° and γ = 120.00°. The inequivalent atoms are Th at (0.0000, 0.0000, 0.0000), Pa at (0.0000, 0.0000, 0.8314), Ge at (0.0000, 0.0000, 0.4184) and P at (0.0000, 0.0000, 0.5791).

The density of states at the Fermi level is 11.3 states/eV per cell. Its calculated density is 9.3 g/cm³. Its raw total energy is -7.522 eV per atom.

***

# 3
Cs6ICl4: relaxed, PBE-GGA.

It has space group Cmcm (No. 63), with a = 5.1065 Å, b = 17.0103 Å, c = 26.3521 Å, α = 90.00°, β = 90.00° and γ = 90.00°. The inequivalent atoms are Cs at (0.0000, 0.0000, 0.0000), Cs at (0.0000, 0.1756, 0.2500), Cs at (0.0000, 0.2728, 0.5792), Cs at (0.0000, 0.4679, 0.1586), I at (0.0000, 0.1393, 0.7500), Cl at (0.0000, 0.0970, 0.1172) and Cl at (0.0000, 0.3639, 0.0417).

The density of states at the Fermi level is 6.4 states/eV per cell. Its calculated density is 3.1 g/cm³. Its raw total energy is -2.942 eV per atom.

***

# 4
Li2LaSe: relaxed, PBE-GGA.

It has space group Pm (No. 6), with a = 3.9487 Å, b = 3.9498 Å, c = 6.1570 Å, α = 90.00°, β = 90.31° and γ = 90.00°. The inequivalent atoms are Li at (0.0000, 0.0000, 0.0000), Li at (0.4995, 0.5000, 0.0007), La at (0.5043, 0.0000, 0.4874) and Se at (0.0027, 0.5000, 0.2849).

The density of states at the Fermi level is 2.4 states/eV per cell. Its calculated density is 4.0 g/cm³. Its raw total energy is -3.903 eV per atom.

***

# 5
PbBr2: relaxed, PBE-GGA.

It has space group P6_3/mmc (No. 194), with a = 5.3095 Å, b = 5.3095 Å, c = 7.3737 Å, α = 90.00°, β = 90.00° and γ = 120.00°. The inequivalent atoms are Pb at (0.3333, 0.6667, 0.2500), Br at (0.0000, 0.0000, 0.0000) and Br at (0.3333, 0.6667, 0.7500).

The density of states at the Fermi level is 0.0 states/eV per cell. Its calculated density is 6.8 g/cm³. Its raw total energy is -3.031 eV per atom.

***

# 6
HfTaMn: relaxed, PBE-GGA.

It has space group I4mm (No. 107), with a = 3.1416 Å, b = 3.1416 Å, c = 10.1282 Å, α = 90.00°, β = 90.00° and γ = 90.00°. The inequivalent atoms are Hf at (0.0000, 0.0000, 0.0000), Ta at (0.0000, 0.0000, 0.3032) and Mn at (0.0000, 0.0000, 0.6648).

The value obtained for the energy relative to the lowest polymorph listed for this composition is 0.058 eV/atom. The density of states at the Fermi level is 6.7 states/eV per cell. Its calculated density is 13.8 g/cm³. Its raw total energy is -10.423 eV per atom.

***

# 7
NaYCd14: relaxed, PBE-GGA.

It has space group P4/mmm (No. 123), with a = 6.5283 Å, b = 6.5283 Å, c = 8.7235 Å, α = 90.00°, β = 90.00° and γ = 90.00°. The inequivalent atoms are Na at (0.0000, 0.0000, 0.0000), Y at (0.5000, 0.5000, 0.0000), Cd at (0.0000, 0.0000, 0.5000), Cd at (0.0000, 0.5000, 0.0000), Cd at (0.0000, 0.5000, 0.5000), Cd at (0.2483, 0.2483, 0.2572) and Cd at (0.5000, 0.5000, 0.5000).

The density of states at the Fermi level is 8.0 states/eV per cell. Its calculated density is 7.5 g/cm³. Its raw total energy is -1.376 eV per atom.

***

# 8
NdAgTeS: relaxed, PBE-GGA.

It has space group P4/nmm (No. 129, origin choice 2), with a = 4.6178 Å, b = 4.6178 Å, c = 9.7699 Å, α = 90.00°, β = 90.00° and γ = 90.00°. The inequivalent atoms are Nd at (0.2500, 0.2500, 0.1575), Ag at (0.2500, 0.7500, 0.5000), Te at (0.2500, 0.2500, 0.6847) and S at (0.2500, 0.7500, 0.0000).

Its calculated density is 6.6 g/cm³. Its raw total energy is -4.842 eV per atom.

***

# 9
YHo3Sb2C: relaxed, PBE-GGA.

It has space group Immm (No. 71), with a = 4.7685 Å, b = 4.7884 Å, c = 15.6813 Å, α = 90.00°, β = 90.00° and γ = 90.00°. The inequivalent atoms are Y at (0.0000, 0.0000, 0.0000), Ho at (0.0000, 0.0000, 0.5000), Ho at (0.0000, 0.5000, 0.1569), Sb at (0.0000, 0.5000, 0.3572) and C at (0.0000, 0.5000, 0.0000).

The density of states at the Fermi level is 11.4 states/eV per cell. Its calculated density is 7.8 g/cm³. Its raw total energy is -6.156 eV per atom.

***

# 10
CaHo2Rh: relaxed, PBE-GGA.

It has space group P4/mmm (No. 123), with a = 3.5075 Å, b = 3.5075 Å, c = 9.1605 Å, α = 90.00°, β = 90.00° and γ = 90.00°. The inequivalent atoms are Ca at (0.0000, 0.0000, 0.0000), Ho at (0.5000, 0.5000, 0.3264) and Rh at (0.0000, 0.0000, 0.5000).

The value obtained for the energy relative to the lowest polymorph listed for this composition is 0.000 eV/atom. The density of states at the Fermi level is 2.7 states/eV per cell. Its calculated density is 7.0 g/cm³. Its raw total energy is -5.038 eV per atom.

***

# 11
InNi4W: relaxed, PBE-GGA.

It has space group F-43m (No. 216), with a = 6.7825 Å, b = 6.7825 Å, c = 6.7825 Å, α = 90.00°, β = 90.00° and γ = 90.00°. The inequivalent atoms are In at (0.0000, 0.0000, 0.0000), Ni at (0.1241, 0.1241, 0.6241) and W at (0.2500, 0.2500, 0.2500).

The density of states at the Fermi level is 28.2 states/eV per cell. Its calculated density is 11.4 g/cm³. Its raw total energy is -6.378 eV per atom.

***

# 12
Pm6CdGe3: relaxed, PBE-GGA.

It has space group Cmcm (No. 63), with a = 11.1052 Å, b = 11.3353 Å, c = 8.7514 Å, α = 90.00°, β = 90.00° and γ = 90.00°. The inequivalent atoms are Pm at (0.0000, 0.1661, 0.0087), Pm at (0.1804, 0.5000, 0.0000), Pm at (0.2493, 0.2420, 0.7500), Cd at (0.0000, 0.3813, 0.7500), Ge at (0.0000, 0.3700, 0.2500) and Ge at (0.1220, 0.0008, 0.2500).

The density of states at the Fermi level is 34.8 states/eV per cell. Its calculated density is 7.2 g/cm³. Its raw total energy is -4.934 eV per atom.

***

# 13
NdTm3Zn2: relaxed, PBE-GGA.

It has space group P4/mmm (No. 123), with a = 3.5328 Å, b = 3.5328 Å, c = 12.2139 Å, α = 90.00°, β = 90.00° and γ = 90.00°. The inequivalent atoms are Nd at (0.0000, 0.0000, 0.0000), Tm at (0.5000, 0.5000, 0.2146), Tm at (0.5000, 0.5000, 0.5000) and Zn at (0.0000, 0.0000, 0.3581).

The density of states at the Fermi level is 5.4 states/eV per cell. Its calculated density is 8.5 g/cm³. Its raw total energy is -3.689 eV per atom.

***

# 14
SrCu2Hg: relaxed, PBE-GGA.

It has space group P4/mmm (No. 123), with a = 4.6615 Å, b = 4.6615 Å, c = 4.0925 Å, α = 90.00°, β = 90.00° and γ = 90.00°. The inequivalent atoms are Sr at (0.0000, 0.0000, 0.0000), Cu at (0.0000, 0.5000, 0.5000) and Hg at (0.5000, 0.5000, 0.0000).

The value obtained for the energy relative to the lowest polymorph listed for this composition is 0.267 eV/atom. The density of states at the Fermi level is 1.8 states/eV per cell. Its calculated density is 7.8 g/cm³. Its raw total energy is -2.417 eV per atom.

***

# 15
Cs3Li2Pb9: relaxed, PBE-GGA.

It has space group Immm (No. 71), with a = 5.0315 Å, b = 13.4865 Å, c = 15.4355 Å, α = 90.00°, β = 90.00° and γ = 90.00°. The inequivalent atoms are Cs at (0.0000, 0.0000, 0.0000), Cs at (0.0000, 0.0000, 0.2889), Li at (0.0000, 0.1618, 0.5000), Pb at (0.0000, 0.2917, 0.1113), Pb at (0.0000, 0.3244, 0.3238) and Pb at (0.0000, 0.5000, 0.0000).

The density of states at the Fermi level is 13.4 states/eV per cell. Its calculated density is 7.2 g/cm³. Its raw total energy is -2.964 eV per atom.

***

# 16
HfZrMn: relaxed, PBE-GGA.

It has space group I4mm (No. 107), with a = 3.2170 Å, b = 3.2170 Å, c = 10.5366 Å, α = 90.00°, β = 90.00° and γ = 90.00°. The inequivalent atoms are Hf at (0.0000, 0.0000, 0.0000), Zr at (0.0000, 0.0000, 0.7091) and Mn at (0.0000, 0.0000, 0.3585).

The value obtained for the energy relative to the lowest polymorph listed for this composition is 0.000 eV/atom. The density of states at the Fermi level is 9.5 states/eV per cell. Its calculated density is 9.9 g/cm³. Its raw total energy is -9.240 eV per atom.

***

# 17
CeHo2Th3P6: relaxed, PBE-GGA.

It has space group C2/m (No. 12), with a = 7.0854 Å, b = 12.2722 Å, c = 7.0569 Å, α = 90.00°, β = 109.56° and γ = 90.00°. The inequivalent atoms are Ce at (0.0000, 0.0000, 0.0000), Ho at (0.0000, 0.3330, 0.0000), Th at (0.0000, 0.1661, 0.5000), Th at (0.0000, 0.5000, 0.5000), P at (0.2447, 0.5000, 0.2419) and P at (0.2491, 0.1679, 0.2434).

The density of states at the Fermi level is 17.2 states/eV per cell. Its calculated density is 7.8 g/cm³. Its raw total energy is -7.383 eV per atom.

***

# 18
Mn8OsRu3: relaxed, PBE-GGA.

It has space group P3m1 (No. 156), with a = 4.6645 Å, b = 4.6645 Å, c = 7.5873 Å, α = 90.00°, β = 90.00° and γ = 120.00°. The inequivalent atoms are Mn at (0.0000, 0.0000, 0.0000), Mn at (0.0000, 0.0000, 0.4997), Mn at (0.1742, 0.3484, 0.2502), Mn at (0.3482, 0.1741, 0.7505), Os at (0.6667, 0.3333, 0.0678), Ru at (0.3333, 0.6667, 0.5681), Ru at (0.3333, 0.6667, 0.9321) and Ru at (0.6667, 0.3333, 0.4318).

The density of states at the Fermi level is 14.8 states/eV per cell. Its calculated density is 10.8 g/cm³. Its raw total energy is -9.355 eV per atom.

***

# 19
CoGe2WAu: relaxed, PBE-GGA.

It has space group P4/mmm (No. 123), with a = 4.8154 Å, b = 4.8154 Å, c = 4.7065 Å, α = 90.00°, β = 90.00° and γ = 90.00°. The inequivalent atoms are Co at (0.0000, 0.0000, 0.0000), Ge at (0.0000, 0.5000, 0.5000), W at (0.5000, 0.5000, 0.0000) and Au at (0.0000, 0.0000, 0.5000).

The density of states at the Fermi level is 8.5 states/eV per cell. Its calculated density is 8.9 g/cm³. Its raw total energy is -4.777 eV per atom.

***

# 20
BaInNi: relaxed, PBE-GGA.

It has space group F-43m (No. 216), with a = 7.5150 Å, b = 7.5150 Å, c = 7.5150 Å, α = 90.00°, β = 90.00° and γ = 90.00°. The inequivalent atoms are Ba at (0.0000, 0.0000, 0.0000), In at (0.2500, 0.2500, 0.2500) and Ni at (0.2500, 0.2500, 0.7500).

The density of states at the Fermi level is 12.4 states/eV per cell. Its calculated density is 4.9 g/cm³. Its raw total energy is -2.797 eV per atom.

***

# 21
Pu2GeAs4: relaxed, PBE-GGA.

It has space group P-4m2 (No. 115), with a = 3.9547 Å, b = 3.9547 Å, c = 10.0161 Å, α = 90.00°, β = 90.00° and γ = 90.00°. The inequivalent atoms are Pu at (0.0000, 0.5000, 0.2273), Ge at (0.0000, 0.0000, 0.5000), As at (0.0000, 0.0000, 0.0000), As at (0.0000, 0.5000, 0.6786) and As at (0.5000, 0.5000, 0.0000).

The density of states at the Fermi level is 16.9 states/eV per cell. Its calculated density is 9.1 g/cm³. Its raw total energy is -7.939 eV per atom.

***

# 22
Pr3Ho4Cd: relaxed, PBE-GGA.

It has space group Pmn2_1 (No. 31), with a = 11.3473 Å, b = 7.1485 Å, c = 6.2435 Å, α = 90.00°, β = 90.00° and γ = 90.00°. The inequivalent atoms are Pr at (0.0000, 0.1294, 0.0000), Pr at (0.2332, 0.1181, 0.3595), Ho at (0.0000, 0.3943, 0.5414), Ho at (0.0000, 0.6297, 0.0221), Ho at (0.2419, 0.6228, 0.3628) and Cd at (0.0000, 0.8575, 0.5310).

The value obtained for the energy relative to the lowest polymorph listed for this composition is 0.021 eV/atom. The density of states at the Fermi level is 19.4 states/eV per cell. Its calculated density is 7.8 g/cm³. Its raw total energy is -4.241 eV per atom.

***

# 23
RbBiBr3: relaxed, PBE-GGA.

It has space group P-1 (No. 2), with a = 7.2899 Å, b = 8.2623 Å, c = 8.3233 Å, α = 114.18°, β = 105.99° and γ = 93.91°. The inequivalent atoms are Rb at (0.2305, 0.2191, 0.3618), Bi at (0.5000, 0.0000, 0.0000), Bi at (0.5000, 0.5000, 0.0000), Br at (0.2253, 0.1492, 0.7846), Br at (0.2287, 0.6400, 0.7845) and Br at (0.3245, 0.6070, 0.2845).

The value obtained for the energy relative to the lowest polymorph listed for this composition is 0.011 eV/atom. Its calculated density is 4.1 g/cm³. Its raw total energy is -2.945 eV per atom.

***

# 24
Ho2Tm5Th4: relaxed, PBE-GGA.

It has space group P-1 (No. 2), with a = 3.5506 Å, b = 8.5815 Å, c = 11.7741 Å, α = 104.65°, β = 98.65° and γ = 90.01°. The inequivalent atoms are Ho at (0.0908, 0.2211, 0.1809), Tm at (0.0000, 0.5000, 0.0000), Tm at (0.2715, 0.6852, 0.5444), Tm at (0.3631, 0.4048, 0.7267), Th at (0.1828, 0.9525, 0.3644) and Th at (0.4541, 0.1375, 0.9084).

The value obtained for the energy relative to the lowest polymorph listed for this composition is 0.000 eV/atom. The density of states at the Fermi level is 15.7 states/eV per cell. Its calculated density is 10.2 g/cm³. Its raw total energy is -5.540 eV per atom.